VASP calculation (PBE-GGA) on a relaxed structure of Mn2HI8.

The density of states at the Fermi level comes out at 6.5 states/eV/f.u. The magnetization comes out at 6.998 μB per formula unit. The value obtained for the calculated density is 3.7 g/cm³. The total energy comes out at -3.1042 eV/atom.

abc: 12.420 8.341 10.124
angles: 90.00 107.68 90.00
Space group C2/m (No. 12)
Inequivalent atoms, fractional coordinates:
Mn (0.104, 0.000, 0.375) x4
H (0.000, 0.000, 0.000) x2
I (0.074, 0.220, 0.180) x8
I (0.119, 0.000, 0.646) x4
I (0.179, 0.500, 0.550) x4